Record 1
A relaxed structure of Pa7Al. Source: Alexandria via LeMat-Bulk, functional PBE.

Summary:
- Formation enthalpy at 0 K: -0.7 eV/f.u.

Unit cell a=9.160 b=9.160 c=9.160 alpha=90.00 beta=90.00 gamma=90.00
Space group Fm-3m (No. 225)
Asymmetric unit:
Pa1 0.000 0.000 0.000
Pa2 0.000 0.250 0.250
Al1 0.000 0.000 0.500


Record 2
A relaxed structure of Pa2Al. Source: Alexandria via LeMat-Bulk, functional PBE.

Summary:
- Formation enthalpy at 0 K: -0.2 eV/f.u.

Unit cell a=9.098 b=5.714 c=6.192 alpha=90.00 beta=121.98 gamma=90.00
Space group C2/c (No. 15)
Asymmetric unit:
Pa1 0.158 0.102 0.263
Al1 0.000 0.403 0.750


Record 3
A relaxed structure of PaAl3. Source: Alexandria via LeMat-Bulk, functional PBE.

Summary:
- Formation enthalpy at 0 K: -0.2 eV/f.u.
- Energy above the lowest structure with this stoichiometry: 0.2231 eV/atom

Unit cell a=3.017 b=4.667 c=5.649 alpha=90.00 beta=90.00 gamma=90.00
Space group Pmm2 (No. 25)
Asymmetric unit:
Pa1 0.000 0.000 0.000
Al1 0.000 0.500 0.643
Al2 0.500 0.000 0.506
Al3 0.500 0.500 0.216


Record 4
A relaxed structure of PaAl3. Source: Alexandria via LeMat-Bulk, functional PBE.

Summary:
- Formation enthalpy at 0 K: -1.1 eV/f.u.
- Energy above the lowest structure with this stoichiometry: 0.0000 eV/atom

Unit cell a=6.2887 b=6.2887 c=4.5849 alpha=90.00 beta=90.00 gamma=120.00
Space group P6_3/mmc (No. 194)
Asymmetric unit:
Pa1 0.3333 0.6667 0.2500
Al1 0.1482 0.2964 0.7500


Record 5
A relaxed structure of PaAl5. Source: Alexandria via LeMat-Bulk, functional PBE.

Summary:
- Formation enthalpy at 0 K: -0.7 eV/f.u.
- Energy above the lowest structure with this stoichiometry: 0.0056 eV/atom

Unit cell a=4.216 b=12.339 c=4.335 alpha=90.00 beta=90.00 gamma=90.00
Space group Cmmm (No. 65)
Asymmetric unit:
Pa1 0.000 0.000 0.000
Al1 0.000 0.171 0.500
Al2 0.000 0.320 0.000
Al3 0.000 0.500 0.500


Record 6
A relaxed structure of PaAl4. Source: Alexandria via LeMat-Bulk, functional PBE.

Summary:
- Formation enthalpy at 0 K: -1.1 eV/f.u.
- Energy above the lowest structure with this stoichiometry: 0.0000 eV/atom

Unit cell a=4.403 b=6.328 c=13.728 alpha=90.00 beta=90.00 gamma=90.00
Space group Imma (No. 74)
Asymmetric unit:
Pa1 0.000 0.250 0.115
Al1 0.000 0.000 0.500
Al2 0.000 0.033 0.698
Al3 0.000 0.250 0.890


Record 7
A relaxed structure of Pa4Al. Source: Alexandria via LeMat-Bulk, functional PBE.

Summary:
- Formation enthalpy at 0 K: 5.4 eV/f.u.
- Energy above the lowest structure with this stoichiometry: 1.1134 eV/atom

Unit cell a=5.286 b=5.286 c=5.286 alpha=90.00 beta=90.00 gamma=90.00
Space group Pm-3m (No. 221)
Asymmetric unit:
Pa1 0.000 0.000 0.000
Pa2 0.000 0.500 0.500
Al1 0.500 0.500 0.500


Record 8
A relaxed structure of PaAl3. Source: Alexandria via LeMat-Bulk, functional PBE.

Summary:
- Formation enthalpy at 0 K: 1.7 eV/f.u.
- Energy above the lowest structure with this stoichiometry: 0.6981 eV/atom

Unit cell a=4.063 b=4.063 c=11.260 alpha=90.00 beta=90.00 gamma=90.00
Space group I4/mmm (No. 139)
Asymmetric unit:
Pa1 0.000 0.000 0.000
Al1 0.000 0.000 0.278
Al2 0.000 0.000 0.500


Record 9
A relaxed structure of PaAl4. Source: Alexandria via LeMat-Bulk, functional PBE.

Summary:
- Formation enthalpy at 0 K: 7.7 eV/f.u.
- Energy above the lowest structure with this stoichiometry: 1.7614 eV/atom

Unit cell a=5.600 b=5.600 c=5.600 alpha=90.00 beta=90.00 gamma=90.00
Space group Pm-3m (No. 221)
Asymmetric unit:
Pa1 0.000 0.000 0.000
Al1 0.000 0.000 0.500
Al2 0.500 0.500 0.500


Record 10
A relaxed structure of Pa4Al. Source: Alexandria via LeMat-Bulk, functional PBE.

Summary:
- Formation enthalpy at 0 K: -0.2 eV/f.u.
- Energy above the lowest structure with this stoichiometry: 0.0000 eV/atom

Unit cell a=3.088 b=3.088 c=24.455 alpha=90.00 beta=90.00 gamma=90.00
Space group I4/mmm (No. 139)
Asymmetric unit:
Pa1 0.000 0.000 0.094
Pa2 0.000 0.000 0.302
Al1 0.000 0.000 0.500